Here is a relaxed structure of AlTePd4 from Alexandria via LeMat-Bulk. Energies are from PBE.

abc: 7.070 5.997 5.435
angles: 90.00 95.92 90.00
Fractional coordinates of all 12 atoms:
Al 0.000 0.000 0.000
Al 0.000 0.500 0.500
Te 0.500 0.000 0.500
Te 0.500 0.500 0.000
Pd 0.145 0.144 0.420
Pd 0.145 0.356 0.920
Pd 0.242 0.711 0.254
Pd 0.242 0.789 0.754
Pd 0.758 0.211 0.246
Pd 0.758 0.289 0.746
Pd 0.855 0.644 0.080
Pd 0.855 0.856 0.580

Density of states at the Fermi level   3.20 states/eV/f.u.
Formation energy from raw total energies   -0.39 eV per atom



Here is a relaxed structure of SiAgS from Alexandria via LeMat-Bulk. Energies are from PBE.

abc: 6.876 6.876 6.022
angles: 90.00 90.00 120.00
Fractional coordinates of all 9 atoms:
Si 0.032 0.459 0.000
Si 0.427 0.968 0.333
Si 0.541 0.573 0.667
Ag 0.460 0.341 0.328
Ag 0.659 0.119 0.995
Ag 0.881 0.540 0.661
S 0.093 0.671 0.292
S 0.329 0.421 0.959
S 0.579 0.907 0.625

Density of states at the Fermi level   0.85 states/eV/f.u.
Formation energy from raw total energies   0.08 eV per atom



Here is a relaxed structure of Pr2ErAlO from Alexandria via LeMat-Bulk. Energies are from PBE.

abc: 5.025 5.025 4.625
angles: 90.00 90.00 90.00
Fractional coordinates of all 5 atoms:
Pr 0.000 0.500 0.000
Pr 0.500 0.000 0.000
Er 0.000 0.000 0.500
Al 0.500 0.500 0.500
O 0.000 0.000 0.000

Density of states at the Fermi level   2.49 states/eV/f.u.
Formation energy from raw total energies   -1.31 eV per atom



Here is a relaxed structure of FeAgBr2 from Alexandria via LeMat-Bulk. Energies are from PBE.

abc: 3.725 4.453 11.869
angles: 90.00 90.00 90.00
Fractional coordinates of all 8 atoms:
Fe 0.000 0.000 0.000
Fe 0.000 0.500 0.500
Ag 0.500 0.000 0.818
Ag 0.500 0.500 0.318
Br 0.000 0.000 0.415
Br 0.000 0.500 0.915
Br 0.500 0.000 0.145
Br 0.500 0.500 0.645

Density of states at the Fermi level   4.00 states/eV/f.u.
Formation energy from raw total energies   0.00 eV per atom